No. 1
Density functional theory data (PBE) for a relaxed structure of BaHg7.

Unit cell a=12.8111 b=8.4269 c=4.6189 alpha=90.00 beta=110.52 gamma=90.00
Closest atoms and distances in Å follow each position.
Space group C2/m (No. 12)
Unique sites:
Ba: 0.0000 0.0000 0.0000 [2 per cell]  12 Hg 3.70-3.83
Hg: 0.0000 0.5000 0.0000 [2 per cell]  10 Hg 3.08-3.23
Hg: 0.1301 0.3093 0.6314 [8 per cell]  7 Hg 2.94-3.23
Hg: 0.2432 0.0000 0.7443 [4 per cell]  7 Hg 2.94-3.20

**Energy of formation from the pure elements**: -0.20 eV/atom
**Crystal system**: monoclinic
**DOS(E_F)**: 0.421 states/eV/atom

No. 2
Density functional theory data (PBE) for a relaxed structure of Lu2NiAs.

Unit cell a=3.7124 b=3.7124 c=25.3146 alpha=90.00 beta=90.00 gamma=120.00
Closest atoms and distances in Å follow each position.
Space group R-3m (No. 166, hexagonal axes)
Unique sites:
Lu: 0.0000 0.0000 0.0985 [6 per cell]  1 Ni 2.49, 3 As 2.75
Ni: 0.0000 0.0000 0.0000 [3 per cell]  2 Lu 2.49
As: 0.0000 0.0000 0.5000 [3 per cell]  6 Lu 2.75

**Energy of formation from the pure elements**: -0.06 eV/atom
**Crystal system**: trigonal
**DOS(E_F)**: 0.871 states/eV/atom

No. 3
Density functional theory data (PBE) for a relaxed structure of MgZrAlAg.

Unit cell a=6.7571 b=6.7571 c=6.7571 alpha=90.00 beta=90.00 gamma=90.00
Closest atoms and distances in Å follow each position.
Space group F-43m (No. 216)
Unique sites:
Mg: 0.0000 0.0000 0.0000 [4 per cell]  4 Al 2.93, 4 Ag 2.93
Zr: 0.0000 0.0000 0.5000 [4 per cell]  4 Al 2.93, 4 Ag 2.93
Al: 0.2500 0.2500 0.7500 [4 per cell]  4 Zr 2.93, 4 Mg 2.93
Ag: 0.2500 0.2500 0.2500 [4 per cell]  4 Zr 2.93, 4 Mg 2.93

**Energy of formation from the pure elements**: -0.15 eV/atom
**Crystal system**: cubic
**DOS(E_F)**: 0.440 states/eV/atom

No. 4
Density functional theory data (PBE) for a relaxed structure of CuHgAu.

Unit cell a=3.0920 b=3.0920 c=10.9834 alpha=90.00 beta=90.00 gamma=90.00
Closest atoms and distances in Å follow each position.
Space group I4mm (No. 107)
Unique sites:
Cu: 0.0000 0.0000 0.0000 [2 per cell]  4 Au 2.70, 4 Hg 2.81
Hg: 0.0000 0.0000 0.6608 [2 per cell]  4 Cu 2.81, 4 Au 3.06, 4 Hg 3.09
Au: 0.0000 0.0000 0.3563 [2 per cell]  4 Cu 2.70

**Excess energy over the best structure of this formula in the dataset**: 0.0555 eV/atom
**Energy of formation from the pure elements**: 0.09 eV/atom
**Crystal system**: tetragonal
**DOS(E_F)**: 0.308 states/eV/atom

No. 5
Density functional theory data (PBE) for a relaxed structure of EuZnGe.

Unit cell a=4.3421 b=4.3421 c=8.4777 alpha=90.00 beta=90.00 gamma=120.00
Closest atoms and distances in Å follow each position.
Space group P6_3/mmc (No. 194)
Unique sites:
Eu: 0.0000 0.0000 0.0000 [2 per cell]  6 Ge 3.28, 6 Zn 3.28
Zn: 0.3333 0.6667 0.2500 [2 per cell]  3 Ge 2.51
Ge: 0.3333 0.6667 0.7500 [2 per cell]  3 Zn 2.51

**Energy of formation from the pure elements**: -0.57 eV/atom
**Crystal system**: hexagonal
**DOS(E_F)**: 3.206 states/eV/atom

No. 6
Density functional theory data (PBE) for a relaxed structure of RbScGe.

Unit cell a=5.3798 b=5.3798 c=6.2347 alpha=90.00 beta=90.00 gamma=120.00
Closest atoms and distances in Å follow each position.
Space group P6_3mc (No. 186)
Unique sites:
Rb: 0.0000 0.0000 0.0000 [2 per cell]  2 Rb 3.12, 6 Sc 3.46-3.49, 6 Ge 3.47-3.48
Sc: 0.3333 0.6667 0.2543 [2 per cell]  5 Ge 3.09-3.15
Ge: 0.3333 0.6667 0.7498 [2 per cell]  5 Sc 3.09-3.15

**Excess energy over the best structure of this formula in the dataset**: 0.4789 eV/atom
**Energy of formation from the pure elements**: 0.12 eV/atom
**Crystal system**: hexagonal
**DOS(E_F)**: 0.022 states/eV/atom

No. 7
Density functional theory data (PBE) for a relaxed structure of ZrBe2SnRh.

Unit cell a=4.4949 b=4.4949 c=5.3633 alpha=90.00 beta=90.00 gamma=90.00
Closest atoms and distances in Å follow each position.
Space group P4/mmm (No. 123)
Unique sites:
Zr: 0.0000 0.0000 0.0000 [1 per cell]  4 Be 2.25
Be: 0.0000 0.5000 0.0000 [2 per cell]  2 Zr 2.25
Sn: 0.0000 0.0000 0.5000 [1 per cell]  2 Zr 2.68
Rh: 0.5000 0.5000 0.5000 [1 per cell]  4 Sn 3.18, 8 Be 3.50

**Energy of formation from the pure elements**: 1.57 eV/atom
**Crystal system**: tetragonal
**DOS(E_F)**: 0.846 states/eV/atom

No. 8
Density functional theory data (PBE) for a relaxed structure of BaCd2In9.

Unit cell a=12.7688 b=12.7688 c=8.4035 alpha=90.00 beta=90.00 gamma=90.00
Closest atoms and distances in Å follow each position.
Space group I4_1/amd (No. 141, origin choice 2)
Unique sites:
Ba: 0.0000 0.2500 0.3750 [4 per cell]  18 In 3.91-4.20
Cd: 0.0000 0.0000 0.0000 [8 per cell]  10 In 3.10-3.36
In: 0.0000 0.2500 0.8750 [4 per cell]  4 Cd 3.36, 8 In 3.45
In: 0.1225 0.0495 0.6727 [32 per cell]  2 Cd 3.10-3.23, 6 In 3.13-3.45

**Excess energy over the best structure of this formula in the dataset**: 0.0000 eV/atom
**Energy of formation from the pure elements**: -0.11 eV/atom
**Crystal system**: tetragonal
**DOS(E_F)**: 0.445 states/eV/atom

Going through the records in order, we get spin magnetization values of 0.000; 0.000; 0.000; 0.000; 7.034; 0.000; 0.000; 0.000 μB/f.u..